Model one:
# CaTaIn

Crystalline CaTaIn at its relaxed geometry (PBE, Alexandria).

POSCAR file:
```
CaTaIn
1.0
3.2132 0.0000 0.0000
-1.6066 2.7827 0.0000
0.0000 0.0000 7.8926
In Ta Ca
1 1 1
Direct
0.6667 0.3333 0.3484
0.3333 0.6667 0.6575
0.0000 0.0000 0.9941
```

Values from the calculation:
DOS(E_F) = 2.61 states/eV/f.u.
total moment = 0.00 μB per atom



Model two:
# CaTaIn

Crystalline CaTaIn at its relaxed geometry (PBE, Alexandria).

POSCAR file:
```
CaTaIn
1.0
-0.9724 4.6483 -1.2647
-3.7420 2.3886 2.1079
0.8878 3.6468 3.1725
Ta In Ca
1 1 1
Direct
0.0000 0.0000 0.0000
0.7500 0.7500 0.7500
0.5000 0.5000 0.5000
```

Values from the calculation:
DOS(E_F) = 3.75 states/eV/f.u.
total moment = 0.54 μB per atom



Model three:
# CaTaIn

Crystalline CaTaIn at its relaxed geometry (PBE, Alexandria).

POSCAR file:
```
CaTaIn
1.0
-3.0504 -3.9310 3.7251
1.5043 -5.6642 2.0706
1.2566 6.0468 -0.7007
Ta Ca In
1 1 1
Direct
0.3129 0.3129 0.0000
0.0004 0.0004 0.0000
0.6866 0.6866 0.0000
```

Values from the calculation:
DOS(E_F) = 2.23 states/eV/f.u.
total moment = 0.00 μB per atom



Model four:
# CaTaIn

Crystalline CaTaIn at its relaxed geometry (PBE, Alexandria).

POSCAR file:
```
CaTaIn
1.0
-2.8210 7.2416 -0.2159
-5.1708 5.6574 -1.3086
-1.3804 0.1790 2.6995
Ca In Ta
1 1 1
Direct
0.0004 0.0004 0.9996
0.3244 0.3244 0.6756
0.6751 0.6751 0.3249
```

Values from the calculation:
DOS(E_F) = 2.08 states/eV/f.u.
total moment = 0.00 μB per atom



It is model two that is the least stable of them.



Model one:
# CaTa3In

Crystalline CaTa3In at its relaxed geometry (PBE, Alexandria).

POSCAR file:
```
CaTa3In
1.0
4.7955 0.0000 0.0000
0.0000 4.7955 0.0000
0.0000 0.0000 4.7955
Ta In Ca
3 1 1
Direct
0.0000 0.0000 0.5000
0.0000 0.5000 0.0000
0.5000 0.0000 0.0000
0.5000 0.5000 0.5000
0.0000 0.0000 0.0000
```

Values from the calculation:
DOS(E_F) = 5.04 states/eV/f.u.
total moment = 0.00 μB per atom



Model two:
# CaTa3In

Crystalline CaTa3In at its relaxed geometry (PBE, Alexandria).

POSCAR file:
```
CaTa3In
1.0
-4.0003 -2.3669 2.1659
1.7677 -4.5150 -1.6690
2.6774 -0.5553 4.3380
Ta In Ca
3 1 1
Direct
0.0000 0.0000 0.5000
0.0000 0.5000 0.0000
0.5000 0.0000 0.0000
0.0000 0.0000 0.0000
0.5000 0.5000 0.5000
```

Values from the calculation:
DOS(E_F) = 3.57 states/eV/f.u.
total moment = 0.00 μB per atom



It is model one that is the least stable of them.



Model one:
# Ca2TbIn

Crystalline Ca2TbIn at its relaxed geometry (PBE, Alexandria).

POSCAR file:
```
Ca2TbIn
1.0
-0.9893 -0.7842 3.9877
3.9657 -1.0838 0.7708
1.5603 6.9578 1.7554
Ca Tb In
2 1 1
Direct
0.0000 0.0000 0.2330
0.0000 0.0000 0.7670
0.5000 0.5000 0.5000
0.5000 0.5000 0.0000
```

Values from the calculation:
DOS(E_F) = 3.09 states/eV/f.u.
total moment = 0.00 μB per atom



Model two:
# Ca2TbIn

Crystalline Ca2TbIn at its relaxed geometry (PBE, Alexandria).

POSCAR file:
```
Ca2TbIn
1.0
-0.6651 1.5877 3.2497
-2.9214 -1.0259 1.9840
5.1256 -7.7816 6.9316
In Ca Tb
1 2 1
Direct
0.6664 0.6664 0.0007
0.0755 0.0755 0.7736
0.2576 0.2576 0.2273
0.5005 0.5005 0.4984
```

Values from the calculation:
DOS(E_F) = 4.79 states/eV/f.u.
total moment = 0.16 μB per atom



It is model two that is the least stable of them.